Here is Er2W3O12 after structural relaxation from Alexandria via LeMat-Bulk. Energies are from GGA+U.

Values from the calculation:
- Space-group type: C2/c
- Electronic total energy: -7.7934 eV/atom
- Magnetization: 0.00 μB per atom

abc: 6.8566 6.8566 11.3303
angles: 79.52 79.52 111.71
Atoms (fractional coordinates):
Er 0.9581 0.7112 0.0923
Er 0.7112 0.9581 0.5923
Er 0.2888 0.0419 0.4077
Er 0.0419 0.2888 0.9077
W 0.8661 0.1339 0.2500
W 0.7546 0.5394 0.4480
W 0.5394 0.7546 0.9480
W 0.4606 0.2454 0.0520
W 0.2454 0.4606 0.5520
W 0.1339 0.8661 0.7500
O 0.6592 0.0746 0.3975
O 0.9254 0.3408 0.1025
O 0.5311 0.6068 0.5747
O 0.3932 0.4689 0.9253
O 0.7912 0.8699 0.2203
O 0.1301 0.2088 0.2797
O 0.9214 0.8208 0.4578
O 0.1792 0.0786 0.0422
O 0.8982 0.5329 0.2959
O 0.7722 0.3335 0.5616
O 0.5329 0.8982 0.7959
O 0.6665 0.2278 0.9384
O 0.3335 0.7722 0.0616
O 0.4671 0.1018 0.2041
O 0.2278 0.6665 0.4384
O 0.1018 0.4671 0.7041
O 0.8208 0.9214 0.9578
O 0.0786 0.1792 0.5422
O 0.8699 0.7912 0.7203
O 0.2088 0.1301 0.7797
O 0.6068 0.5311 0.0747
O 0.4689 0.3932 0.4253
O 0.0746 0.6592 0.8975
O 0.3408 0.9254 0.6025